No. 1
Density functional theory data (GGA-PBEsol) for an optimized crystal structure of CoIr3Se.

The density of states at the Fermi level comes out at 1.642 states/eV per atom. As for the volume: 87 Å³/cell. The value obtained for the theoretical density is 13.668 Mg/m³. As for the total magnetization: 0.746 μB/atom. Its uncorrected formation energy is 1.68 eV per atom.

The space group is Pm-3m (No. 221) and the conventional cell measures 4.428, 4.428 and 4.428 Å, with angles of 90.00, 90.00 and 90.00 degrees. The distinct sites, in fractional coordinates, are Co at (0.000, 0.000, 0.000), Ir at (0.000, 0.000, 0.500) and Se at (0.500, 0.500, 0.500).

***

No. 2
Density functional theory data (GGA-PBEsol) for an optimized crystal structure of CoSiIr2.

The density of states at the Fermi level comes out at 1.281 states/eV per atom. As for the volume: 105 Å³/cell. The value obtained for the theoretical density is 14.872 Mg/m³. As for the total magnetization: 0.422 μB/atom. Its uncorrected formation energy is 0.01 eV per atom.

The space group is C2/m (No. 12) and the conventional cell measures 5.302, 8.499 and 2.701 Å, with angles of 90.00, 120.13 and 90.00 degrees. The distinct sites, in fractional coordinates, are Co at (0.000, 0.000, 0.000), Si at (0.000, 0.500, 0.000) and Ir at (0.250, 0.250, 0.500).

***

No. 3
Density functional theory data (GGA-PBEsol) for an optimized crystal structure of CoSiIr2.

The density of states at the Fermi level comes out at 1.912 states/eV per atom. As for the volume: 210 Å³/cell. The value obtained for the theoretical density is 14.945 Mg/m³. As for the total magnetization: 0.545 μB/atom. Its uncorrected formation energy is 0.11 eV per atom.

The space group is F-43m (No. 216) and the conventional cell measures 5.940, 5.940 and 5.940 Å, with angles of 90.00, 90.00 and 90.00 degrees. The distinct sites, in fractional coordinates, are Co at (0.000, 0.000, 0.000), Si at (0.250, 0.250, 0.750), Ir at (0.000, 0.000, 0.500) and Ir at (0.250, 0.250, 0.250).

***

No. 4
Density functional theory data (GGA-PBEsol) for an optimized crystal structure of CoSi2Ir.

The density of states at the Fermi level comes out at 0.753 states/eV per atom. As for the volume: 51 Å³/cell. The value obtained for the theoretical density is 10.072 Mg/m³. As for the total magnetization: 0.000 μB/atom. Its uncorrected formation energy is -0.13 eV per atom. For the distance to the lowest polymorph of the same formula, the calculation gives 0 meV/atom.

The space group is P4mm (No. 99) and the conventional cell measures 2.685, 2.685 and 7.026 Å, with angles of 90.00, 90.00 and 90.00 degrees. The distinct sites, in fractional coordinates, are Co at (0.000, 0.000, 0.000), Si at (0.000, 0.000, 0.495), Si at (0.500, 0.500, 0.802) and Ir at (0.500, 0.500, 0.265).

***

No. 5
Density functional theory data (GGA-PBEsol) for an optimized crystal structure of CoSiIr2.

The density of states at the Fermi level comes out at 0.970 states/eV per atom. As for the volume: 50 Å³/cell. The value obtained for the theoretical density is 15.763 Mg/m³. As for the total magnetization: 0.337 μB/atom. Its uncorrected formation energy is -0.24 eV per atom.

The space group is P4mm (No. 99) and the conventional cell measures 2.767, 2.767 and 6.486 Å, with angles of 90.00, 90.00 and 90.00 degrees. The distinct sites, in fractional coordinates, are Co at (0.000, 0.000, 0.000), Si at (0.500, 0.500, 0.806), Ir at (0.000, 0.000, 0.570) and Ir at (0.500, 0.500, 0.267).

***

No. 6
Density functional theory data (GGA-PBEsol) for an optimized crystal structure of CoSi2Ir.

The density of states at the Fermi level comes out at 0.685 states/eV per atom. As for the volume: 201 Å³/cell. The value obtained for the theoretical density is 10.159 Mg/m³. As for the total magnetization: 0.000 μB/atom. Its uncorrected formation energy is 0.05 eV per atom. For the distance to the lowest polymorph of the same formula, the calculation gives 176 meV/atom.

The space group is F-43m (No. 216) and the conventional cell measures 5.857, 5.857 and 5.857 Å, with angles of 90.00, 90.00 and 90.00 degrees. The distinct sites, in fractional coordinates, are Co at (0.000, 0.000, 0.000), Si at (0.000, 0.000, 0.500), Si at (0.250, 0.250, 0.250) and Ir at (0.250, 0.250, 0.750).

***

No. 7
Density functional theory data (GGA-PBEsol) for an optimized crystal structure of TaCoIr2.

The density of states at the Fermi level comes out at 0.850 states/eV per atom. As for the volume: 112 Å³/cell. The value obtained for the theoretical density is 18.555 Mg/m³. As for the total magnetization: 0.335 μB/atom. The formation energy from the elements is -0.43 eV per atom.

The space group is I4/mmm (No. 139) and the conventional cell measures 3.852, 3.852 and 7.531 Å, with angles of 90.00, 90.00 and 90.00 degrees. The distinct sites, in fractional coordinates, are Ta at (0.000, 0.000, 0.000), Co at (0.000, 0.000, 0.500) and Ir at (0.000, 0.500, 0.250).

***

No. 8
Density functional theory data (GGA-PBEsol) for an optimized crystal structure of TaCo2Ir.

The density of states at the Fermi level comes out at 1.144 states/eV per atom. As for the volume: 52 Å³/cell. The value obtained for the theoretical density is 15.559 Mg/m³. As for the total magnetization: 0.445 μB/atom. The formation energy from the elements is -0.15 eV per atom. For the distance to the lowest polymorph of the same formula, the calculation gives 264 meV/atom.

The space group is P4mm (No. 99) and the conventional cell measures 3.108, 3.108 and 5.425 Å, with angles of 90.00, 90.00 and 90.00 degrees. The distinct sites, in fractional coordinates, are Ta at (0.000, 0.000, 0.000), Co at (0.000, 0.000, 0.448), Co at (0.500, 0.500, 0.250) and Ir at (0.500, 0.500, 0.715).

***

No. 9
Density functional theory data (GGA-PBEsol) for an optimized crystal structure of TaCoIr2.

The density of states at the Fermi level comes out at 1.223 states/eV per atom. As for the volume: 56 Å³/cell. The value obtained for the theoretical density is 18.362 Mg/m³. As for the total magnetization: 0.366 μB/atom. The formation energy from the elements is -0.17 eV per atom.

The space group is P2/m (No. 10) and the conventional cell measures 2.703, 4.203 and 5.138 Å, with angles of 90.00, 104.73 and 90.00 degrees. The distinct sites, in fractional coordinates, are Ta at (0.000, 0.000, 0.000), Co at (0.000, 0.000, 0.500) and Ir at (0.369, 0.500, 0.730).

***

No. 10
Density functional theory data (GGA-PBEsol) for an optimized crystal structure of TaCo2Ir.

The density of states at the Fermi level comes out at 0.932 states/eV per atom. As for the volume: 103 Å³/cell. The value obtained for the theoretical density is 15.777 Mg/m³. As for the total magnetization: 0.456 μB/atom. The formation energy from the elements is -0.31 eV per atom. For the distance to the lowest polymorph of the same formula, the calculation gives 102 meV/atom.

The space group is I-4m2 (No. 119) and the conventional cell measures 3.703, 3.703 and 7.539 Å, with angles of 90.00, 90.00 and 90.00 degrees. The distinct sites, in fractional coordinates, are Ta at (0.000, 0.000, 0.000), Co at (0.000, 0.000, 0.500), Co at (0.000, 0.500, 0.250) and Ir at (0.000, 0.500, 0.750).

***

No. 11
Density functional theory data (GGA-PBEsol) for an optimized crystal structure of TaCoIr2.

The density of states at the Fermi level comes out at 1.593 states/eV per atom. As for the volume: 113 Å³/cell. The value obtained for the theoretical density is 18.270 Mg/m³. As for the total magnetization: 0.251 μB/atom. The formation energy from the elements is -0.02 eV per atom.

The space group is C2/m (No. 12) and the conventional cell measures 5.311, 8.976 and 2.704 Å, with angles of 90.00, 118.29 and 90.00 degrees. The distinct sites, in fractional coordinates, are Ta at (0.000, 0.000, 0.000), Co at (0.000, 0.500, 0.000) and Ir at (0.250, 0.250, 0.500).

***

No. 12
Density functional theory data (GGA-PBEsol) for an optimized crystal structure of TaCo2Ir.

The density of states at the Fermi level comes out at 0.803 states/eV per atom. As for the volume: 51 Å³/cell. The value obtained for the theoretical density is 16.084 Mg/m³. As for the total magnetization: 0.001 μB/atom. The formation energy from the elements is -0.42 eV per atom. For the distance to the lowest polymorph of the same formula, the calculation gives 0 meV/atom.

The space group is P4/mmm (No. 123) and the conventional cell measures 3.724, 3.724 and 3.655 Å, with angles of 90.00, 90.00 and 90.00 degrees. The distinct sites, in fractional coordinates, are Ta at (0.000, 0.000, 0.000), Co at (0.000, 0.500, 0.500) and Ir at (0.500, 0.500, 0.000).